No. 1
Computed, not measured: crystalline SmNpCd at its relaxed geometry at the PBE level of DFT.

Computed properties:
- energy above the lowest structure with this stoichiometry (eV/atom) = 0.000
- ΔE_f (meV per atom) = 846
- total moment (μB/f.u.) = 4.6
- crystal system = cubic

Structure (CIF):
```
data_SmNpCd
_cell_length_a 7.114
_cell_length_b 7.114
_cell_length_c 7.114
_cell_angle_alpha 90.00
_cell_angle_beta 90.00
_cell_angle_gamma 90.00
_space_group_name_H-M_alt 'F -4 3 m'
_space_group_IT_number 216
_space_group_name_Hall 'F -4 2 3'
loop_
_atom_site_label
_atom_site_fract_x
_atom_site_fract_y
_atom_site_fract_z
Sm1 0.000 0.000 0.000
Np1 0.250 0.250 0.750
Cd1 0.000 0.000 0.500
```

---

No. 2
Computed, not measured: crystalline SmHfZr at its relaxed geometry at the PBE level of DFT.

Computed properties:
- energy above the lowest structure with this stoichiometry (eV/atom) = 0.264
- ΔE_f (meV per atom) = 1167
- total moment (μB/f.u.) = 0.7
- crystal system = cubic

Structure (CIF):
```
data_SmHfZr
_cell_length_a 7.035
_cell_length_b 7.035
_cell_length_c 7.035
_cell_angle_alpha 90.00
_cell_angle_beta 90.00
_cell_angle_gamma 90.00
_space_group_name_H-M_alt 'F -4 3 m'
_space_group_IT_number 216
_space_group_name_Hall 'F -4 2 3'
loop_
_atom_site_label
_atom_site_fract_x
_atom_site_fract_y
_atom_site_fract_z
Sm1 0.000 0.000 0.000
Hf1 0.250 0.250 0.750
Zr1 0.250 0.250 0.250
```

---

No. 3
Computed, not measured: crystalline Ho2TmLu4Ni2Te2 at its relaxed geometry at the PBE level of DFT.

Computed properties:
- total moment (μB/f.u.) = 0.0
- E_tot (Ry per atom) = -0.3782
- crystal system = orthorhombic

Structure (CIF):
```
data_Ho2TmLu4Ni2Te2
_cell_length_a 3.806
_cell_length_b 15.303
_cell_length_c 9.477
_cell_angle_alpha 90.00
_cell_angle_beta 90.00
_cell_angle_gamma 90.00
_space_group_name_H-M_alt 'I m m 2'
_space_group_IT_number 44
_space_group_name_Hall 'I 2 -2'
loop_
_atom_site_label
_atom_site_fract_x
_atom_site_fract_y
_atom_site_fract_z
Ho1 0.000 0.134 0.000
Tm1 0.000 0.000 0.420
Lu1 0.000 0.315 0.796
Lu2 0.000 0.353 0.146
Ni1 0.000 0.235 0.489
Te1 0.000 0.000 0.755
Te2 0.000 0.500 0.655
```

---

No. 4
Computed, not measured: crystalline HoFeSi2Au at its relaxed geometry at the PBE level of DFT.

Computed properties:
- total moment (μB/f.u.) = 1.8
- E_tot (Ry per atom) = -0.4373
- crystal system = tetragonal

Structure (CIF):
```
data_HoFeSi2Au
_cell_length_a 4.080
_cell_length_b 4.080
_cell_length_c 10.052
_cell_angle_alpha 90.00
_cell_angle_beta 90.00
_cell_angle_gamma 90.00
_space_group_name_H-M_alt 'I -4 m 2'
_space_group_IT_number 119
_space_group_name_Hall 'I -4 -2'
loop_
_atom_site_label
_atom_site_fract_x
_atom_site_fract_y
_atom_site_fract_z
Ho1 0.000 0.000 0.000
Fe1 0.000 0.500 0.250
Si1 0.000 0.000 0.383
Au1 0.000 0.500 0.750
```

---

No. 5
Computed, not measured: crystalline Hf4NiPbC2 at its relaxed geometry at the PBE level of DFT.

Computed properties:
- total moment (μB/f.u.) = 0.0
- E_tot (Ry per atom) = -0.6638
- crystal system = hexagonal

Structure (CIF):
```
data_Hf4NiPbC2
_cell_length_a 3.3208
_cell_length_b 3.3208
_cell_length_c 13.8151
_cell_angle_alpha 90.00
_cell_angle_beta 90.00
_cell_angle_gamma 120.00
_space_group_name_H-M_alt 'P -6 m 2'
_space_group_IT_number 187
_space_group_name_Hall 'P -6 2'
loop_
_atom_site_label
_atom_site_fract_x
_atom_site_fract_y
_atom_site_fract_z
Hf1 0.0000 0.0000 0.1354
Hf2 0.6667 0.3333 0.3190
Ni1 0.6667 0.3333 0.0000
Pb1 0.0000 0.0000 0.5000
C1 0.3333 0.6667 0.2334
```

---

No. 6
Computed, not measured: crystalline DySi3Pt4 at its relaxed geometry at the PBE level of DFT.

Computed properties:
- total moment (μB/f.u.) = 0.0
- E_tot (Ry per atom) = -0.4683
- crystal system = monoclinic

Structure (CIF):
```
data_DySi3Pt4
_cell_length_a 5.896
_cell_length_b 3.664
_cell_length_c 6.411
_cell_angle_alpha 90.00
_cell_angle_beta 97.77
_cell_angle_gamma 90.00
_space_group_name_H-M_alt 'P 1 m 1'
_space_group_IT_number 6
_space_group_name_Hall 'P -2y'
loop_
_atom_site_label
_atom_site_fract_x
_atom_site_fract_y
_atom_site_fract_z
Dy1 0.000 0.000 0.000
Si1 0.184 0.000 0.519
Si2 0.389 0.500 0.825
Si3 0.695 0.500 0.312
Pt1 0.270 0.500 0.298
Pt2 0.531 0.000 0.086
Pt3 0.586 0.000 0.645
Pt4 0.968 0.500 0.631
```

---

No. 7
Computed, not measured: crystalline Gd2CdP2 at its relaxed geometry at the PBE level of DFT.

Computed properties:
- total moment (μB/f.u.) = 0.0
- E_tot (Ry per atom) = -0.3762
- crystal system = orthorhombic

Structure (CIF):
```
data_Gd2CdP2
_cell_length_a 3.997
_cell_length_b 17.396
_cell_length_c 6.422
_cell_angle_alpha 90.00
_cell_angle_beta 90.00
_cell_angle_gamma 90.00
_space_group_name_H-M_alt 'C m c 21'
_space_group_IT_number 36
_space_group_name_Hall 'C 2c -2'
loop_
_atom_site_label
_atom_site_fract_x
_atom_site_fract_y
_atom_site_fract_z
Gd1 0.000 0.023 0.000
Gd2 0.000 0.198 0.691
Cd1 0.000 0.387 0.814
P1 0.000 0.186 0.142
P2 0.000 0.420 0.211
```

---

No. 8
Computed, not measured: crystalline Pt9Pb at its relaxed geometry at the PBE level of DFT.

Computed properties:
- energy above the lowest structure with this stoichiometry (eV/atom) = 0.050
- total moment (μB/f.u.) = 0.0
- crystal system = tetragonal

Structure (CIF):
```
data_Pt9Pb
_cell_length_a 2.892
_cell_length_b 2.892
_cell_length_c 50.385
_cell_angle_alpha 90.00
_cell_angle_beta 90.00
_cell_angle_gamma 90.00
_space_group_name_H-M_alt 'P 4/n m m'
_space_group_IT_number 129
loop_
_space_group_symop_operation_xyz
'x,y,z'
'-x,-y,-z'
'-y+1/2,x,z'
'y+1/2,-x,-z'
'-x+1/2,-y+1/2,z'
'x+1/2,y+1/2,-z'
'y,-x+1/2,z'
'-y,x+1/2,-z'
'x+1/2,-y,-z'
'-x+1/2,y,z'
'-y,-x,-z'
'y,x,z'
'-x,y+1/2,-z'
'x,-y+1/2,z'
'y+1/2,x+1/2,-z'
'-y+1/2,-x+1/2,z'
loop_
_atom_site_label
_atom_site_fract_x
_atom_site_fract_y
_atom_site_fract_z
Pt1 0.250 0.250 0.019
Pt2 0.250 0.250 0.093
Pt3 0.250 0.250 0.168
Pt4 0.250 0.250 0.242
Pt5 0.250 0.250 0.319
Pt6 0.250 0.250 0.720
Pt7 0.250 0.250 0.795
Pt8 0.250 0.250 0.869
Pt9 0.250 0.250 0.944
Pb1 0.250 0.250 0.638
```

---

No. 9
Computed, not measured: crystalline HfZrSiNi at its relaxed geometry at the PBE level of DFT.

Computed properties:
- total moment (μB/f.u.) = 1.2
- E_tot (Ry per atom) = -0.5335
- crystal system = cubic

Structure (CIF):
```
data_HfZrSiNi
_cell_length_a 6.444
_cell_length_b 6.444
_cell_length_c 6.444
_cell_angle_alpha 90.00
_cell_angle_beta 90.00
_cell_angle_gamma 90.00
_space_group_name_H-M_alt 'F -4 3 m'
_space_group_IT_number 216
_space_group_name_Hall 'F -4 2 3'
loop_
_atom_site_label
_atom_site_fract_x
_atom_site_fract_y
_atom_site_fract_z
Hf1 0.000 0.000 0.000
Zr1 0.250 0.250 0.750
Si1 0.250 0.250 0.250
Ni1 0.000 0.000 0.500
```

---

No. 10
Computed, not measured: crystalline Li2DyB2 at its relaxed geometry at the PBE level of DFT.

Computed properties:
- energy above the lowest structure with this stoichiometry (eV/atom) = 0.825
- total moment (μB/f.u.) = 0.1
- crystal system = orthorhombic

Structure (CIF):
```
data_Li2DyB2
_cell_length_a 3.370
_cell_length_b 12.572
_cell_length_c 14.941
_cell_angle_alpha 90.00
_cell_angle_beta 90.00
_cell_angle_gamma 90.00
_space_group_name_H-M_alt 'F d d d'
_space_group_IT_number 70
loop_
_space_group_symop_operation_xyz
'x,y,z'
'-x,-y,-z'
'-x+1/4,-y+1/4,z'
'x+1/4,y+1/4,-z'
'x,-y+1/4,-z+1/4'
'-x,y+1/4,z+1/4'
'-x+1/4,y,-z+1/4'
'x+1/4,-y,z+1/4'
'x,y+1/2,z+1/2'
'-x,-y+1/2,-z+1/2'
'-x+1/4,-y+3/4,z+1/2'
'x+1/4,y+3/4,-z+1/2'
'x,-y+3/4,-z+3/4'
'-x,y+3/4,z+3/4'
'-x+1/4,y+1/2,-z+3/4'
'x+1/4,-y+1/2,z+3/4'
'x+1/2,y,z+1/2'
'-x+1/2,-y,-z+1/2'
'-x+3/4,-y+1/4,z+1/2'
'x+3/4,y+1/4,-z+1/2'
'x+1/2,-y+1/4,-z+3/4'
'-x+1/2,y+1/4,z+3/4'
'-x+3/4,y,-z+3/4'
'x+3/4,-y,z+3/4'
'x+1/2,y+1/2,z'
'-x+1/2,-y+1/2,-z'
'-x+3/4,-y+3/4,z'
'x+3/4,y+3/4,-z'
'x+1/2,-y+3/4,-z+1/4'
'-x+1/2,y+3/4,z+1/4'
'-x+3/4,y+1/2,-z+1/4'
'x+3/4,-y+1/2,z+1/4'
loop_
_atom_site_label
_atom_site_fract_x
_atom_site_fract_y
_atom_site_fract_z
Li1 0.125 0.125 0.311
Dy1 0.125 0.125 0.625
B1 0.000 0.000 0.500
```

---

No. 11
Computed, not measured: crystalline Li4Cd2InPd at its relaxed geometry at the PBE level of DFT.

Computed properties:
- E_tot (Ry per atom) = -0.1833
- crystal system = tetragonal

Structure (CIF):
```
data_Li4Cd2InPd
_cell_length_a 4.585
_cell_length_b 4.585
_cell_length_c 6.569
_cell_angle_alpha 90.00
_cell_angle_beta 90.00
_cell_angle_gamma 90.00
_space_group_name_H-M_alt 'P -4 m 2'
_space_group_IT_number 115
_space_group_name_Hall 'P -4 -2'
loop_
_atom_site_label
_atom_site_fract_x
_atom_site_fract_y
_atom_site_fract_z
Li1 0.000 0.000 0.000
Li2 0.000 0.500 0.726
Li3 0.500 0.500 0.500
Cd1 0.000 0.500 0.267
In1 0.500 0.500 0.000
Pd1 0.000 0.000 0.500
```

---

No. 12
Computed, not measured: crystalline DyYCu2As4 at its relaxed geometry at the PBE level of DFT.

Computed properties:
- total moment (μB/f.u.) = 0.0
- E_tot (Ry per atom) = -0.4016
- crystal system = tetragonal

Structure (CIF):
```
data_DyYCu2As4
_cell_length_a 3.908
_cell_length_b 3.908
_cell_length_c 9.856
_cell_angle_alpha 90.00
_cell_angle_beta 90.00
_cell_angle_gamma 90.00
_space_group_name_H-M_alt 'P 4 m m'
_space_group_IT_number 99
_space_group_name_Hall 'P 4 -2'
loop_
_atom_site_label
_atom_site_fract_x
_atom_site_fract_y
_atom_site_fract_z
Dy1 0.000 0.000 0.000
Y1 0.500 0.500 0.474
Cu1 0.000 0.500 0.737
As1 0.000 0.000 0.577
As2 0.000 0.500 0.236
As3 0.500 0.500 0.898
```